CdCu2Br2 | PBE | relaxed

The structure in CIF format:
```
data_CdCu2Br2
_chemical_formula_sum 'Cd2 Cu4 Br4'
_space_group_name_H-M_alt 'P 4/m b m'
_space_group_IT_number 127
_space_group_name_Hall '-P 4 2ab'
_cell_length_a 7.3431
_cell_length_b 7.3431
_cell_length_c 3.8563
_cell_angle_alpha 90.00
_cell_angle_beta 90.00
_cell_angle_gamma 90.00
loop_
_atom_site_label
_atom_site_type_symbol
_atom_site_fract_x
_atom_site_fract_y
_atom_site_fract_z
Cd1 Cd 0.0000 0.0000 0.0000
Cu1 Cu 0.1234 0.3766 0.0000
Br1 Br 0.1677 0.6677 0.5000
```

Results
Energy relative to the elements, uncorrected in eV per atom: 0.182
Energy above the most stable polymorph in this dataset in meV/atom: 5

***

Cd2CuBr | PBE | relaxed

The structure in CIF format:
```
data_Cd2CuBr
_chemical_formula_sum 'Cd4 Cu2 Br2'
_space_group_name_H-M_alt 'C 1 m 1'
_space_group_IT_number 8
_space_group_name_Hall 'C -2y'
_cell_length_a 9.5077
_cell_length_b 3.5996
_cell_length_c 7.7218
_cell_angle_alpha 90.00
_cell_angle_beta 126.12
_cell_angle_gamma 90.00
loop_
_atom_site_label
_atom_site_type_symbol
_atom_site_fract_x
_atom_site_fract_y
_atom_site_fract_z
Cd1 Cd 0.0000 0.0000 0.0000
Cd2 Cd 0.1219 0.5000 0.8038
Cu1 Cu 0.2808 0.0000 0.6943
Br1 Br 0.1623 0.5000 0.3852
```

Results
Energy relative to the elements, uncorrected in eV per atom: -0.038
Energy above the most stable polymorph in this dataset in meV/atom: 10

***

CdCu3Br | PBE | relaxed

The structure in CIF format:
```
data_CdCu3Br
_chemical_formula_sum 'Cd1 Cu3 Br1'
_space_group_name_H-M_alt 'P m -3 m'
_space_group_IT_number 221
_space_group_name_Hall '-P 4 2 3'
_cell_length_a 4.7636
_cell_length_b 4.7636
_cell_length_c 4.7636
_cell_angle_alpha 90.00
_cell_angle_beta 90.00
_cell_angle_gamma 90.00
loop_
_atom_site_label
_atom_site_type_symbol
_atom_site_fract_x
_atom_site_fract_y
_atom_site_fract_z
Cd1 Cd 0.0000 0.0000 0.0000
Cu1 Cu 0.0000 0.5000 0.5000
Br1 Br 0.5000 0.5000 0.5000
```

Results
Energy relative to the elements, uncorrected in eV per atom: 0.798
Energy above the most stable polymorph in this dataset in meV/atom: 0

***

Number 1: raw total energy -2.308 eV per atom, size of the total moment 0.0 μB per formula unit. Number 2: raw total energy -1.938 eV per atom, size of the total moment 0.0 μB per formula unit. Number 3: raw total energy -2.178 eV per atom, size of the total moment 0.0 μB per formula unit.